No. 1
MgSbS2N | GGA-PBE | relaxed

Computed properties:
Formation energy from raw total energies in kJ/mol of atoms: 48
VASP energy in eV/atom: -3.96
SG: P4/mmm (123)

abc: 4.9362 4.9362 3.9629
angles: 90.00 90.00 90.00
With the nearest neighbours (Å) after each atom.
Sites, in units of the cell vectors:
Sb1 0.5000 0.5000 0.5000  8 S 3.17, 4 N 3.49
S1 0.0000 0.5000 0.0000  2 Mg 2.47
S2 0.5000 0.0000 0.0000  2 Mg 2.47
Mg1 0.0000 0.0000 0.0000  2 N 1.98
N1 0.0000 0.0000 0.5000  2 Mg 1.98

---

No. 2
Ni2PtBr | GGA-PBE | relaxed

Computed properties:
Formation energy from raw total energies in kJ/mol of atoms: 20
VASP energy in eV/atom: -4.61
SG: Pmmm (47)

abc: 3.0272 3.3413 6.5250
angles: 90.02 90.00 90.00
With the nearest neighbours (Å) after each atom.
Sites, in units of the cell vectors:
Br1 0.5000 0.7500 0.7500  4 Ni 2.51
Ni1 0.0000 0.7499 0.0574  1 Ni 2.51, 2 Br 2.51, 4 Pt 2.58
Ni2 0.0000 0.7501 0.4426  1 Ni 2.51, 2 Br 2.51, 4 Pt 2.58
Pt1 0.5000 0.2500 0.2500  8 Ni 2.58

---

No. 3
LiTmZn2Ga2 | GGA-PBE | relaxed

Computed properties:
VASP energy in eV/atom: -2.89
SG: P-3m1 (164)

abc: 4.3102 4.3102 6.5994
angles: 90.00 90.00 120.00
With the nearest neighbours (Å) after each atom.
Sites, in units of the cell vectors:
Li1 0.0000 0.0000 0.5000  6 Zn 2.84, 6 Ga 2.91
Tm1 0.0000 0.0000 0.0000  6 Ga 3.06, 6 Zn 3.15, 2 Li 3.30
Zn1 0.6667 0.3333 0.2930  3 Ga 2.49
Zn2 0.3333 0.6667 0.7070  3 Ga 2.49
Ga1 0.6667 0.3333 0.7290  3 Zn 2.49
Ga2 0.3333 0.6667 0.2710  3 Zn 2.49

---

No. 4
TmTiIrPd | GGA-PBE | relaxed

Computed properties:
VASP energy in eV/atom: -7.32
SG: F-43m (216)

abc: 4.6418 4.6418 4.6418
angles: 60.00 60.00 60.00
With the nearest neighbours (Å) after each atom.
Sites, in units of the cell vectors:
Ir1 0.5000 0.5000 0.5000  4 Tm 2.84, 4 Ti 2.84
Tm1 0.7500 0.7500 0.7500  4 Ir 2.84, 4 Pd 2.84
Pd1 0.0000 0.0000 0.0000  4 Tm 2.84, 4 Ti 2.84
Ti1 0.2500 0.2500 0.2500  4 Ir 2.84, 4 Pd 2.84

---

No. 5
RbZnSiHg2 | GGA-PBE | relaxed

Computed properties:
Formation energy from raw total energies in kJ/mol of atoms: 10
VASP energy in eV/atom: -1.55
SG: P4/mmm (123)

abc: 5.6040 5.6040 4.8032
angles: 90.00 90.00 90.00
With the nearest neighbours (Å) after each atom.
Sites, in units of the cell vectors:
Zn1 0.0000 0.0000 0.5000  2 Si 2.40
Si1 0.0000 0.0000 0.0000  2 Zn 2.40
Hg1 0.0000 0.5000 0.0000  2 Si 2.80
Hg2 0.5000 0.0000 0.0000  2 Si 2.80
Rb1 0.5000 0.5000 0.5000  8 Hg 3.69, 4 Zn 3.96

---

No. 6
Pr2PuSn9 | GGA-PBE | relaxed

Computed properties:
VASP energy in eV/atom: -5.45
SG: P4/mmm (123)

abc: 4.7327 4.7294 14.3565
angles: 90.00 90.00 90.00
With the nearest neighbours (Å) after each atom.
Sites, in units of the cell vectors:
Pr1 0.0000 0.0000 0.3282  12 Sn 3.35-3.42
Pr2 0.0000 0.0000 0.6718  12 Sn 3.35-3.42
Pu1 0.0000 0.0000 0.0000  12 Sn 3.30-3.35
Sn1 0.5000 0.5000 0.0000  8 Sn 3.30, 4 Pu 3.35
Sn2 0.5000 0.5000 0.3302  4 Pr 3.35, 8 Sn 3.40
Sn3 0.5000 0.5000 0.6698  4 Pr 3.35, 8 Sn 3.40
Sn4 0.5000 0.0000 0.1601  8 Sn 3.30-3.40, 2 Pu 3.30, 2 Pr 3.38
Sn5 0.5000 0.0000 0.5000  8 Sn 3.35-3.40, 4 Pr 3.42
Sn6 0.5000 0.0000 0.8400  8 Sn 3.30-3.40, 2 Pu 3.30, 2 Pr 3.38
Sn7 0.0000 0.5000 0.1600  2 Pu 3.30, 8 Sn 3.30-3.40, 2 Pr 3.38
Sn8 0.0000 0.5000 0.5000  8 Sn 3.35-3.40, 4 Pr 3.42
Sn9 0.0000 0.5000 0.8400  2 Pu 3.30, 8 Sn 3.30-3.40, 2 Pr 3.38

---

No. 7
Nd2TlHg | GGA-PBE | relaxed

Computed properties:
VASP energy in eV/atom: -3.31
SG: R3m (160)

abc: 3.8428 3.8428 10.0521
angles: 78.98 78.98 60.00
With the nearest neighbours (Å) after each atom.
Sites, in units of the cell vectors:
Nd1 0.0798 0.0798 0.7606  3 Hg 3.22, 3 Tl 3.40
Nd2 0.2527 0.2527 0.2420  3 Hg 3.25, 3 Tl 3.35
Tl1 0.5007 0.5007 0.4980  6 Nd 3.35-3.40
Hg1 0.6669 0.6669 0.9994  6 Nd 3.22-3.25

---

No. 8
Gd2HfCd | GGA-PBE | relaxed

Computed properties:
VASP energy in eV/atom: -9.84
SG: P4/mmm (123)

abc: 3.4156 3.4156 9.1555
angles: 90.00 90.00 90.00
With the nearest neighbours (Å) after each atom.
Sites, in units of the cell vectors:
Gd1 0.0000 0.0000 0.7496  4 Hf 3.32, 4 Cd 3.33, 4 Gd 3.42
Gd2 0.0000 0.0000 0.2504  4 Hf 3.32, 4 Cd 3.33, 4 Gd 3.42
Hf1 0.5000 0.5000 0.5000  8 Gd 3.32, 4 Hf 3.42
Cd1 0.5000 0.5000 0.0000  8 Gd 3.33, 4 Cd 3.42

---

No. 9
La3TcNi | GGA-PBE | relaxed

Computed properties:
VASP energy in eV/atom: -5.89
SG: Pm-3m (221)

abc: 5.4069 5.4069 5.4069
angles: 90.00 90.00 90.00
With the nearest neighbours (Å) after each atom.
Sites, in units of the cell vectors:
Ni1 0.5000 0.5000 0.5000  12 La 3.82
Tc1 0.0000 0.0000 0.0000  6 La 2.70
La1 0.0000 0.5000 0.0000  2 Tc 2.70
La2 0.0000 0.0000 0.5000  2 Tc 2.70
La3 0.5000 0.0000 0.0000  2 Tc 2.70

---

No. 10
Li2NpAg2O6 | GGA-PBE | relaxed

Computed properties:
Formation energy from raw total energies in kJ/mol of atoms: -135
VASP energy in eV/atom: -6.14
SG: R-3m (166)

abc: 5.9237 5.9237 6.2116
angles: 61.52 61.52 60.00
With the nearest neighbours (Å) after each atom.
Sites, in units of the cell vectors:
Li1 0.4123 0.4123 0.7632  3 O 1.83
Li2 0.5877 0.5877 0.2368  3 O 1.83
Np1 0.0000 0.0000 0.0000  6 O 2.01
Ag1 0.7970 0.7970 0.6091  3 O 2.49
Ag2 0.2030 0.2030 0.3909  3 O 2.49
O1 0.7659 0.7659 0.2388  1 Li 1.83, 1 Np 2.01
O2 0.2294 0.7659 0.2388  1 Li 1.83, 1 Np 2.01
O3 0.7659 0.2294 0.2388  1 Li 1.83, 1 Np 2.01
O4 0.2341 0.7706 0.7612  1 Li 1.83, 1 Np 2.01
O5 0.7706 0.2341 0.7612  1 Li 1.83, 1 Np 2.01
O6 0.2341 0.2341 0.7612  1 Li 1.83, 1 Np 2.01

---

No. 11
HfCo3Te | GGA-PBE | relaxed

Computed properties:
Formation energy from raw total energies in kJ/mol of atoms: 86
VASP energy in eV/atom: -5.99
SG: Pm-3m (221)

abc: 4.5115 4.5115 4.5115
angles: 90.00 90.00 90.00
With the nearest neighbours (Å) after each atom.
Sites, in units of the cell vectors:
Co1 0.0000 0.5000 0.0000  2 Te 2.26
Co2 0.0000 0.0000 0.5000  2 Te 2.26
Co3 0.5000 0.0000 0.0000  2 Te 2.26
Te1 0.0000 0.0000 0.0000  6 Co 2.26
Hf1 0.5000 0.5000 0.5000  12 Co 3.19

---

No. 12
Ac2IrRh | GGA-PBE | relaxed

Computed properties:
VASP energy in eV/atom: -6.59
SG: P4/mmm (123)

abc: 3.7150 5.2519 5.2519
angles: 90.00 90.00 90.00
With the nearest neighbours (Å) after each atom.
Sites, in units of the cell vectors:
Ac1 0.0000 0.0000 0.5000  4 Ir 3.22, 4 Rh 3.22
Ac2 0.0000 0.5000 0.0000  4 Ir 3.22, 4 Rh 3.22
Ir1 0.5000 0.0000 0.0000  8 Ac 3.22
Rh1 0.5000 0.5000 0.5000  8 Ac 3.22

---

No. 13
Pm3InF | GGA-PBE | relaxed

Computed properties:
Formation energy from raw total energies in kJ/mol of atoms: -109
VASP energy in eV/atom: -4.90
SG: Pm-3m (221)

abc: 5.0055 5.0055 5.0055
angles: 90.00 90.00 90.00
With the nearest neighbours (Å) after each atom.
Sites, in units of the cell vectors:
F1 0.0000 0.0000 0.0000  6 Pm 2.50
In1 0.5000 0.5000 0.5000  12 Pm 3.54
Pm1 0.0000 0.5000 0.0000  2 F 2.50
Pm2 0.0000 0.0000 0.5000  2 F 2.50
Pm3 0.5000 0.0000 0.0000  2 F 2.50

---

No. 14
Pm4Cd2Au | GGA-PBE | relaxed

Computed properties:
VASP energy in eV/atom: -3.71
SG: R-3m (166)

abc: 5.3007 5.3007 9.1473
angles: 73.16 73.16 60.00
With the nearest neighbours (Å) after each atom.
Sites, in units of the cell vectors:
Cd1 0.7527 0.7527 0.7419  8 Pm 3.18-3.30
Cd2 0.2473 0.2473 0.2581  8 Pm 3.18-3.30
Au1 0.0000 0.0000 0.0000  8 Pm 3.21-3.24
Pm1 0.8758 0.8758 0.3725  4 Cd 3.18-3.22, 1 Au 3.21
Pm2 0.1242 0.1242 0.6275  4 Cd 3.18-3.22, 1 Au 3.21
Pm3 0.6251 0.6251 0.1247  3 Au 3.24, 4 Cd 3.27-3.30
Pm4 0.3749 0.3749 0.8753  3 Au 3.24, 4 Cd 3.27-3.30

---

No. 15
Zr3Au2 | GGA-PBE | relaxed

Computed properties:
VASP energy in eV/atom: -6.66
SG: R-3m (166)

abc: 11.5259 11.5259 11.5259
angles: 16.65 16.65 16.65
With the nearest neighbours (Å) after each atom.
Sites, in units of the cell vectors:
Zr1 0.0000 0.0000 0.0000  6 Au 2.93
Zr2 0.2024 0.2024 0.2024  3 Au 2.97, 3 Zr 3.11
Zr3 0.7976 0.7976 0.7976  3 Au 2.97, 3 Zr 3.11
Au1 0.3979 0.3979 0.3979  6 Zr 2.93-2.97
Au2 0.6021 0.6021 0.6021  6 Zr 2.93-2.97

---

No. 16
LiSnHg | GGA-PBE | relaxed

Computed properties:
VASP energy in eV/atom: -2.28
SG: I4mm (107)

abc: 3.4041 3.4041 6.1715
angles: 106.01 106.01 90.00
With the nearest neighbours (Å) after each atom.
Sites, in units of the cell vectors:
Hg1 0.3037 0.3037 0.6075  4 Li 2.86
Sn1 0.6069 0.6069 0.2139  4 Li 3.07, 4 Hg 3.29, 4 Sn 3.40
Li1 0.9393 0.9393 0.8786  4 Hg 2.86, 4 Sn 3.07

---

No. 17
Na2LuCd | GGA-PBE | relaxed

Computed properties:
VASP energy in eV/atom: -1.82
SG: R-3m (166)

abc: 3.3138 3.3138 12.4176
angles: 82.33 82.33 60.00
With the nearest neighbours (Å) after each atom.
Sites, in units of the cell vectors:
Na1 0.0909 0.0909 0.7272  6 Na 3.31, 1 Lu 3.35, 3 Cd 3.38
Na2 0.9091 0.9091 0.2728  6 Na 3.31, 1 Lu 3.35, 3 Cd 3.38
Lu1 0.0000 0.0000 0.0000  6 Lu 3.31, 2 Na 3.35
Cd1 0.5000 0.5000 0.5000  6 Cd 3.31, 6 Na 3.38

---

No. 18
Ca3TiBi | GGA-PBE | relaxed

Computed properties:
VASP energy in eV/atom: -3.18
SG: Pm-3m (221)

abc: 5.9747 5.9747 5.9747
angles: 90.00 90.00 90.00
With the nearest neighbours (Å) after each atom.
Sites, in units of the cell vectors:
Ca1 0.0000 0.5000 0.0000  2 Bi 2.99
Ca2 0.0000 0.0000 0.5000  2 Bi 2.99
Ca3 0.5000 0.0000 0.0000  2 Bi 2.99
Bi1 0.0000 0.0000 0.0000  6 Ca 2.99
Ti1 0.5000 0.5000 0.5000  12 Ca 4.22

---

No. 19
RbSN | GGA-PBE | relaxed

Computed properties:
Formation energy from raw total energies in kJ/mol of atoms: 92
VASP energy in eV/atom: -3.52
SG: P-1 (2)

abc: 9.0648 9.3521 5.2782
angles: 109.68 114.51 129.42
With the nearest neighbours (Å) after each atom.
Sites, in units of the cell vectors:
Rb1 0.7744 0.0604 0.8940  5 N 3.00-3.17
Rb2 0.2256 0.9396 0.1060  5 N 3.00-3.17
S1 0.6816 0.6699 0.0795  1 S 2.06
S2 0.3184 0.3301 0.9205  1 S 2.06
N1 0.0624 0.6327 0.3257  1 N 2.59
N2 0.9376 0.3673 0.6743  1 N 2.59

---

No. 20
Ga3IrPt | GGA-PBE | relaxed

Computed properties:
VASP energy in eV/atom: -4.66
SG: Pm-3m (221)

abc: 4.7272 4.7272 4.7272
angles: 90.00 90.00 90.00
With the nearest neighbours (Å) after each atom.
Sites, in units of the cell vectors:
Ir1 0.0000 0.0000 0.0000  6 Ga 2.36
Ga1 0.0000 0.5000 0.0000  2 Ir 2.36
Ga2 0.0000 0.0000 0.5000  2 Ir 2.36
Ga3 0.5000 0.0000 0.0000  2 Ir 2.36
Pt1 0.5000 0.5000 0.5000  12 Ga 3.34

---

No. 21
LaCuGePt6 | GGA-PBE | relaxed

Computed properties:
VASP energy in eV/atom: -5.81
SG: Imma (74)

abc: 6.9487 9.2314 8.0245
angles: 125.11 115.66 90.00
With the nearest neighbours (Å) after each atom.
Sites, in units of the cell vectors:
La1 0.8410 0.5910 0.6821  6 Pt 2.83-2.89
La2 0.1590 0.4090 0.3179  6 Pt 2.83-2.89
Cu1 0.5000 0.0000 0.5000  6 Pt 2.45-2.59
Cu2 0.0000 0.0000 0.5000  6 Pt 2.45-2.59
Ge1 0.5000 0.5000 0.0000  6 Pt 2.42-2.49
Ge2 0.5000 0.0000 0.0000  6 Pt 2.42-2.49
Pt1 0.4156 0.6656 0.8312  2 Ge 2.49
Pt2 0.9047 0.1547 0.8093  2 Cu 2.45, 4 Pt 2.69
Pt3 0.9085 0.1141 0.2548  1 Ge 2.42, 1 Cu 2.59, 1 Pt 2.69
Pt4 0.3463 0.6407 0.2548  1 Ge 2.42, 1 Cu 2.59, 1 Pt 2.69
Pt5 0.3463 0.1141 0.2548  1 Ge 2.42, 1 Cu 2.59, 1 Pt 2.69
Pt6 0.9085 0.6407 0.2548  1 Ge 2.42, 1 Cu 2.59, 1 Pt 2.69
Pt7 0.5844 0.3344 0.1688  2 Ge 2.49
Pt8 0.0953 0.8453 0.1907  2 Cu 2.45, 4 Pt 2.69
Pt9 0.0915 0.8859 0.7452  1 Ge 2.42, 1 Cu 2.59, 1 Pt 2.69
Pt10 0.6537 0.3593 0.7452  1 Ge 2.42, 1 Cu 2.59, 1 Pt 2.69
Pt11 0.6537 0.8859 0.7452  1 Ge 2.42, 1 Cu 2.59, 1 Pt 2.69
Pt12 0.0915 0.3593 0.7452  1 Ge 2.42, 1 Cu 2.59, 1 Pt 2.69

---

No. 22
HfMg4Pd5 | GGA-PBE | relaxed

Computed properties:
VASP energy in eV/atom: -4.95
SG: P4/mmm (123)

abc: 3.1815 3.1815 16.4461
angles: 90.00 90.00 90.00
With the nearest neighbours (Å) after each atom.
Sites, in units of the cell vectors:
Hf1 0.0000 0.0000 0.0000  8 Pd 2.84, 4 Hf 3.18
Mg1 0.0000 0.0000 0.2099  8 Pd 2.76-2.83
Mg2 0.0000 0.0000 0.4036  8 Pd 2.75-2.76
Mg3 0.0000 0.0000 0.5964  8 Pd 2.75-2.76
Mg4 0.0000 0.0000 0.7901  8 Pd 2.76-2.83
Pd1 0.5000 0.5000 0.1057  4 Mg 2.83, 4 Hf 2.84
Pd2 0.5000 0.5000 0.3068  8 Mg 2.76
Pd3 0.5000 0.5000 0.5000  8 Mg 2.75
Pd4 0.5000 0.5000 0.6932  8 Mg 2.76
Pd5 0.5000 0.5000 0.8943  4 Mg 2.83, 4 Hf 2.84

---

No. 23
NpRh4Au | GGA-PBE | relaxed

Computed properties:
VASP energy in eV/atom: -7.77
SG: F-43m (216)

abc: 5.2338 5.2338 5.2338
angles: 60.00 60.00 60.00
With the nearest neighbours (Å) after each atom.
Sites, in units of the cell vectors:
Np1 0.2500 0.2500 0.2500  12 Rh 3.07, 4 Au 3.21
Rh1 0.6255 0.6255 0.1235  6 Rh 2.61-2.63
Rh2 0.6255 0.1235 0.6255  6 Rh 2.61-2.63
Rh3 0.6255 0.6255 0.6255  6 Rh 2.61-2.63
Rh4 0.1235 0.6255 0.6255  6 Rh 2.61-2.63
Au1 0.0000 0.0000 0.0000  12 Rh 3.07, 4 Np 3.21

---

No. 24
Co2AgOs | GGA-PBE | relaxed

Computed properties:
VASP energy in eV/atom: -6.66
SG: P4mm (99)

abc: 2.6587 2.6587 7.6321
angles: 90.00 90.00 90.00
With the nearest neighbours (Å) after each atom.
Sites, in units of the cell vectors:
Ag1 0.5000 0.5000 0.7619  4 Ag 2.66, 4 Co 2.78, 4 Os 2.94
Co1 0.0000 0.0000 0.0307  8 Co 2.48-2.66
Co2 0.5000 0.5000 0.2419  8 Co 2.48-2.66, 4 Os 2.54
Os1 0.0000 0.0000 0.4654  4 Co 2.54, 4 Os 2.66

---

No. 25
Pm2Zn3Ir2 | GGA-PBE | relaxed

Computed properties:
VASP energy in eV/atom: -4.98
SG: C2/m (12)

abc: 4.1778 5.4425 7.1752
angles: 111.24 90.00 112.57
With the nearest neighbours (Å) after each atom.
Sites, in units of the cell vectors:
Pm1 0.8544 0.7088 0.2292  4 Ir 2.95-3.08, 4 Zn 3.07-3.29
Pm2 0.1456 0.2912 0.7708  4 Ir 2.95-3.08, 4 Zn 3.07-3.29
Zn1 0.5000 0.0000 0.0000  4 Ir 2.59
Zn2 0.6419 0.2838 0.4413  3 Ir 2.68-2.73, 3 Zn 2.89-2.92
Zn3 0.3581 0.7162 0.5587  3 Ir 2.68-2.73, 3 Zn 2.89-2.92
Ir1 0.8628 0.7256 0.8051  5 Zn 2.59-2.73
Ir2 0.1372 0.2744 0.1949  5 Zn 2.59-2.73

---

No. 26
YAsBr | GGA-PBE | relaxed

Computed properties:
Formation energy from raw total energies in kJ/mol of atoms: -133
VASP energy in eV/atom: -5.64
SG: C2/m (12)

abc: 3.9642 5.7149 7.7918
angles: 68.43 75.19 89.80
With the nearest neighbours (Å) after each atom.
Sites, in units of the cell vectors:
As1 0.9822 0.2758 0.0000  1 As 2.57
As2 0.0178 0.7242 0.0000  1 As 2.57
Y1 0.3733 0.3733 0.2534  4 As 2.90-3.00, 4 Br 2.99-3.10
Y2 0.6267 0.6267 0.7466  4 As 2.90-3.00, 4 Br 2.99-3.10
Br1 0.7131 0.2131 0.5739  4 Y 2.99-3.10
Br2 0.2869 0.7869 0.4261  4 Y 2.99-3.10

---

No. 27
ZnTcNi2 | GGA-PBE | relaxed

Computed properties:
VASP energy in eV/atom: -5.76
SG: P4/mmm (123)

abc: 4.3926 4.3926 2.6164
angles: 90.00 90.00 90.00
With the nearest neighbours (Å) after each atom.
Sites, in units of the cell vectors:
Ni1 0.0000 0.0000 0.0000  4 Tc 2.56, 4 Zn 2.56, 2 Ni 2.62
Ni2 0.5000 0.5000 0.0000  4 Tc 2.56, 4 Zn 2.56, 2 Ni 2.62
Tc1 0.5000 0.0000 0.5000  8 Ni 2.56, 2 Tc 2.62
Zn1 0.0000 0.5000 0.5000  8 Ni 2.56, 2 Zn 2.62

---

Across the entries above, size of the total moment takes the values 2.09, 0.99, 0.00, 0.00, 0.00, 5.52, 0.00, 14.61, 0.00, 0.53, 1.75, 0.00, 0.00, 0.01, 0.00, 0.00, 0.00, 4.59, 2.34, 0.00, 0.00, 0.00, 2.37, 2.54, 0.00, 0.00, 0.69 μB/f.u., respectively.